## PmSc7Cd4 (GGA-PBE)

Data for a geometry-optimized PmSc7Cd4 structure.

```
PmSc7Cd4
1.0
-3.836 -1.535 3.382
3.582 -1.477 7.606
-1.665 5.511 4.827
Cd Sc Pm
4 7 1
direct
0.319 0.340 0.022
0.681 0.660 0.978
0.546 0.287 0.621
0.454 0.713 0.379
0.740 0.304 0.216
0.926 0.423 0.724
0.790 0.882 0.538
0.260 0.696 0.784
0.210 0.118 0.462
0.074 0.577 0.276
0.500 0.000 0.000
0.000 0.000 0.000
```

E_tot (eV/atom): -4.358
Space group: No. 12


## Pm4ScCd3 (GGA-PBE)

Data for a geometry-optimized Pm4ScCd3 structure.

```
Pm4ScCd3
1.0
-3.191 1.963 0.049
0.028 -0.091 5.465
5.803 9.428 0.126
Pm Cd Sc
4 3 1
direct
0.000 0.500 0.745
0.000 0.500 0.255
0.000 0.000 0.500
0.000 0.000 0.000
0.500 0.000 0.244
0.500 0.000 0.756
0.500 0.500 0.500
0.500 0.500 0.000
```

E_tot (eV/atom): -3.713
Space group: No. 47


## Pm3ScCd4 (GGA-PBE)

Data for a geometry-optimized Pm3ScCd4 structure.

```
Pm3ScCd4
1.0
-0.986 -2.168 2.837
-1.019 -2.649 -2.380
14.315 -5.917 0.455
Cd Pm Sc
4 3 1
direct
0.000 0.000 0.105
0.000 0.000 0.371
0.000 0.000 0.629
0.000 0.000 0.895
0.500 0.500 0.239
0.500 0.500 0.761
0.500 0.500 0.500
0.500 0.500 0.000
```

E_tot (eV/atom): -3.331
Space group: No. 123


## Pm8Sc2Cd (GGA-PBE)

Data for a geometry-optimized Pm8Sc2Cd structure.

```
Pm8Sc2Cd
1.0
5.010 0.000 0.000
0.000 7.913 0.442
-2.505 -2.916 8.463
Cd Pm Sc
1 8 2
direct
0.500 0.000 0.000
0.953 0.276 0.905
0.318 0.088 0.636
0.139 0.188 0.277
0.406 0.552 0.811
0.861 0.812 0.723
0.047 0.724 0.095
0.594 0.448 0.189
0.682 0.912 0.364
0.225 0.632 0.451
0.775 0.368 0.549
```

E_tot (eV/atom): -4.695
Space group: No. 12


## Pm2ScCd (GGA-PBE)

Data for a geometry-optimized Pm2ScCd structure.

```
Pm2ScCd
1.0
-2.618 1.904 -1.141
-2.111 -1.248 -2.401
-8.645 -4.353 7.412
Cd Pm Sc
1 2 1
direct
0.000 0.000 0.000
0.091 0.091 0.726
0.909 0.909 0.274
0.500 0.500 0.500
```

E_tot (eV/atom): -4.031
Space group: No. 166


## Pm3Sc2Cd2 (GGA-PBE)

Data for a geometry-optimized Pm3Sc2Cd2 structure.

```
Pm3Sc2Cd2
1.0
4.962 0.000 0.658
0.000 3.455 0.000
1.005 0.000 11.447
Cd Pm Sc
2 3 2
direct
0.573 0.500 0.854
0.427 0.500 0.146
0.848 0.000 0.305
0.152 0.000 0.695
0.000 0.000 0.000
0.286 0.500 0.428
0.714 0.500 0.572
```

E_tot (eV/atom): -4.193
Space group: No. 65


## PmScCd11 (GGA-PBE)

Data for a geometry-optimized PmScCd11 structure.

```
PmScCd11
1.0
5.623 0.038 2.343
2.791 7.137 1.163
0.123 0.019 7.624
Cd Sc Pm
11 1 1
direct
0.500 0.000 0.500
0.709 0.787 0.785
0.006 0.652 0.347
0.353 0.652 0.653
0.000 0.000 0.500
0.000 0.500 0.000
0.647 0.348 0.347
0.994 0.348 0.653
0.291 0.213 0.215
0.494 0.787 0.215
0.506 0.213 0.785
0.500 0.500 0.000
0.000 0.000 0.000
```

E_tot (eV/atom): -1.764
Space group: No. 12


## Pm3ScCd (GGA-PBE)

Data for a geometry-optimized Pm3ScCd structure.

```
Pm3ScCd
1.0
3.569 0.000 -0.632
0.080 8.680 0.455
-0.132 1.649 9.656
Pm Sc Cd
6 2 2
direct
0.400 0.028 0.801
0.993 0.295 0.987
0.007 0.705 0.013
0.188 0.632 0.377
0.812 0.368 0.623
0.600 0.972 0.199
0.788 0.848 0.576
0.212 0.152 0.424
0.616 0.396 0.232
0.384 0.604 0.768
```

E_tot (eV/atom): -4.375
Space group: No. 12


## Pm6ScCd2 (GGA-PBE)

Data for a geometry-optimized Pm6ScCd2 structure.

```
Pm6ScCd2
1.0
3.716 0.000 0.590
1.629 6.222 1.737
0.028 -0.047 11.822
Pm Sc Cd
6 1 2
direct
0.977 0.710 0.336
0.690 0.212 0.408
0.680 0.520 0.121
0.320 0.480 0.879
0.023 0.290 0.664
0.310 0.788 0.592
0.000 0.000 0.000
0.637 0.910 0.815
0.363 0.090 0.185
```

E_tot (eV/atom): -4.187
Space group: No. 12


## PmScCdSn (GGA-PBE)

Data for a geometry-optimized PmScCdSn structure.

```
PmScCdSn
1.0
5.222 0.000 0.000
2.611 4.522 0.000
2.611 1.507 4.264
Pm Cd Sc Sn
1 1 1 1
direct
0.500 0.500 0.500
0.750 0.750 0.750
0.000 0.000 0.000
0.250 0.250 0.250
```

E_tot (eV/atom): -4.467
Space group: No. 216


## PmScCdTc (GGA-PBE)

Data for a geometry-optimized PmScCdTc structure.

```
PmScCdTc
1.0
4.974 0.000 0.000
2.487 4.307 0.000
2.487 1.436 4.061
Tc Sc Cd Pm
1 1 1 1
direct
0.000 0.000 0.000
0.750 0.750 0.750
0.500 0.500 0.500
0.250 0.250 0.250
```

E_tot (eV/atom): -5.643
Space group: No. 216


## PmScTlCd (GGA-PBE)

Data for a geometry-optimized PmScTlCd structure.

```
PmScTlCd
1.0
-2.418 -3.340 3.274
2.777 -2.573 3.659
-0.560 1.241 5.086
Tl Cd Pm Sc
1 1 1 1
direct
0.250 0.250 0.250
0.750 0.750 0.750
0.500 0.500 0.500
0.000 0.000 0.000
```

E_tot (eV/atom): -3.901
Space group: No. 216


## Pm5CdSe4 (GGA-PBE)

Data for a geometry-optimized Pm5CdSe4 structure.

```
Pm5CdSe4
1.0
5.409 0.000 2.609
2.705 6.710 1.304
-0.210 0.000 7.348
Pm Se Cd
5 4 1
direct
0.899 0.410 0.794
0.693 0.206 0.410
0.309 0.794 0.590
0.103 0.590 0.206
0.501 0.000 0.000
0.399 0.402 0.801
0.802 0.801 0.598
0.200 0.199 0.402
0.603 0.598 0.199
0.001 0.000 0.000
```

E_tot (eV/atom): -5.376
Space group: No. 87


## Pm3CdSe2 (GGA-PBE)

Data for a geometry-optimized Pm3CdSe2 structure.

```
Pm3CdSe2
1.0
4.001 0.000 -1.134
-0.634 5.596 -2.239
-0.025 -0.267 7.540
Se Pm Cd
2 3 1
direct
0.337 0.837 0.674
0.663 0.163 0.326
0.679 0.679 0.358
0.321 0.321 0.642
0.000 0.000 0.000
0.000 0.500 0.000
```

E_tot (eV/atom): -4.977
Space group: No. 71


## Pm4CdSe3 (GGA-PBE)

Data for a geometry-optimized Pm4CdSe3 structure.

```
Pm4CdSe3
1.0
-3.143 4.182 -3.002
-4.261 -0.139 4.267
6.580 2.306 2.383
Pm Se Cd
4 3 1
direct
0.000 0.500 0.000
0.742 0.742 0.484
0.500 0.000 0.000
0.258 0.258 0.516
0.750 0.250 0.500
0.250 0.750 0.500
0.500 0.500 0.000
0.000 0.000 0.000
```

E_tot (eV/atom): -5.226
Space group: No. 139


## Pm3CdSe6 (GGA-PBE)

Data for a geometry-optimized Pm3CdSe6 structure.

```
Pm3CdSe6
1.0
7.184 0.000 0.000
0.000 8.954 0.196
0.000 -1.807 8.772
Pm Se Cd
6 12 2
direct
0.984 0.722 0.917
0.884 0.599 0.401
0.984 0.083 0.278
0.384 0.401 0.599
0.484 0.917 0.722
0.484 0.278 0.083
0.183 0.374 0.301
0.644 0.227 0.773
0.214 0.450 0.908
0.687 0.969 0.031
0.714 0.908 0.450
0.683 0.626 0.699
0.144 0.773 0.227
0.214 0.092 0.550
0.714 0.550 0.092
0.183 0.699 0.626
0.187 0.031 0.969
0.683 0.301 0.374
0.007 0.205 0.795
0.507 0.795 0.205
```

E_tot (eV/atom): -5.070
Space group: No. 36


## Pm2Tl3CdSe6 (GGA-PBE)

Data for a geometry-optimized Pm2Tl3CdSe6 structure.

```
Pm2Tl3CdSe6
1.0
-7.059 -1.595 -1.403
4.695 -5.358 1.896
-0.890 3.426 7.079
Tl Se Pm Cd
3 6 2 1
direct
0.500 0.500 0.500
0.830 0.170 0.500
0.170 0.830 0.500
0.929 0.598 0.785
0.071 0.402 0.215
0.598 0.929 0.785
0.402 0.071 0.215
0.257 0.257 0.783
0.743 0.743 0.217
0.666 0.334 0.000
0.334 0.666 0.000
0.000 0.000 0.000
```

E_tot (eV/atom): -4.209
Space group: No. 12


## PmCdSi (GGA-PBE)

Data for a geometry-optimized PmCdSi structure.

```
PmCdSi
1.0
-0.203 1.012 4.077
-4.352 0.602 -0.367
1.595 -3.970 1.065
Cd Pm Si
1 1 1
direct
0.166 0.333 0.667
0.666 0.667 0.333
0.168 0.000 0.000
```

E_tot (eV/atom): -4.126
Space group: No. 156


## Pm4Cd5Si2 (GGA-PBE)

Data for a geometry-optimized Pm4Cd5Si2 structure.

```
Pm4Cd5Si2
1.0
-2.084 3.304 -1.628
-6.122 -4.330 -0.949
-2.675 2.313 8.118
Cd Si Pm
5 2 4
direct
0.000 0.443 0.662
0.000 0.151 0.127
0.000 0.500 0.000
0.000 0.557 0.338
0.000 0.849 0.873
0.000 0.938 0.376
0.000 0.062 0.624
0.500 0.771 0.581
0.500 0.812 0.155
0.500 0.229 0.419
0.500 0.188 0.845
```

E_tot (eV/atom): -3.551
Space group: No. 10


## PmCdSi (GGA-PBE)

Data for a geometry-optimized PmCdSi structure.

```
PmCdSi
1.0
-3.952 -2.413 1.896
0.543 -4.991 1.383
-0.212 0.664 7.007
Si Cd Pm
2 2 2
direct
0.250 0.500 0.500
0.750 0.500 0.500
0.167 0.666 0.000
0.833 0.334 0.000
0.362 0.000 0.276
0.638 0.000 0.724
```

E_tot (eV/atom): -3.943
Space group: No. 69


## Pm6CdSi2 (GGA-PBE)

Data for a geometry-optimized Pm6CdSi2 structure.

```
Pm6CdSi2
1.0
-4.031 0.497 7.758
5.438 -6.857 -0.310
4.869 7.145 -1.391
Pm Si Cd
12 4 2
direct
0.703 0.026 0.323
0.905 0.725 0.179
0.095 0.275 0.821
0.297 0.619 0.323
0.204 0.246 0.450
0.546 0.725 0.821
0.297 0.974 0.677
0.454 0.275 0.179
0.204 0.754 0.958
0.703 0.381 0.677
0.796 0.246 0.042
0.796 0.754 0.550
0.500 0.614 0.114
0.636 0.000 0.636
0.500 0.386 0.886
0.364 0.000 0.364
0.000 0.500 0.500
0.000 0.000 0.000
```

E_tot (eV/atom): -4.907
Space group: No. 71


## Pm2Cd3Si (GGA-PBE)

Data for a geometry-optimized Pm2Cd3Si structure.

```
Pm2Cd3Si
1.0
-1.343 3.146 -1.284
-4.453 -1.383 1.266
1.039 3.491 7.468
Cd Pm Si
3 2 1
direct
0.500 0.500 0.663
0.500 0.000 0.828
0.500 0.000 0.167
0.000 0.500 0.023
0.000 0.000 0.483
0.500 0.500 0.336
```

E_tot (eV/atom): -3.300
Space group: No. 25


## Pm2Cd2Si (GGA-PBE)

Data for a geometry-optimized Pm2Cd2Si structure.

```
Pm2Cd2Si
1.0
3.914 0.000 0.000
0.000 3.914 0.000
-1.957 -1.957 8.929
Pm Cd Si
2 2 1
direct
0.585 0.585 0.170
0.415 0.415 0.830
0.250 0.750 0.500
0.750 0.250 0.500
0.000 0.000 0.000
```

E_tot (eV/atom): -3.477
Space group: No. 139